w.
VASP calculation (PBE) on NiRuCl after structural relaxation.

abc: 5.8926 5.8926 5.8926
angles: 151.74 151.74 40.40
Fractional coordinates of all 3 atoms:
Ni: 0.0000 0.0000 0.0000
Ru: 0.3668 0.3668 0.0000
Cl: 0.7099 0.7099 0.0000

DOS at the Fermi energy (states/eV/cell): 4.274
Crystal system: tetragonal

---

x.
VASP calculation (PBE) on NiRuCl after structural relaxation.

abc: 4.1711 4.1711 4.1711
angles: 60.00 60.00 60.00
Fractional coordinates of all 3 atoms:
Ni: 0.0000 0.0000 0.0000
Ru: 0.2500 0.2500 0.2500
Cl: 0.7500 0.7500 0.7500

DOS at the Fermi energy (states/eV/cell): 2.080
Crystal system: cubic

---

Energies in eV/atom, measured from the most stable structure: w 0.000; x 0.440.

---

w.
VASP calculation (PBE) on NiRuCl after structural relaxation.

abc: 4.0856 4.0856 4.0856
angles: 60.00 60.00 60.00
Fractional coordinates of all 3 atoms:
Ni: 0.0000 0.0000 0.0000
Ru: 0.2500 0.2500 0.2500
Cl: 0.5000 0.5000 0.5000

DOS at the Fermi energy (states/eV/cell): 4.074
Crystal system: cubic

---

x.
VASP calculation (PBE) on NiRuCl after structural relaxation.

abc: 2.9232 2.9232 5.6940
angles: 90.00 90.00 120.00
Fractional coordinates of all 3 atoms:
Ni: 0.0000 0.0000 0.0000
Ru: 0.6667 0.3333 0.3226
Cl: 0.3333 0.6667 0.6835

DOS at the Fermi energy (states/eV/cell): 3.526
Crystal system: trigonal

---

Energies in eV/atom, measured from the most stable structure: w 0.363; x 0.000.

---

w.
VASP calculation (PBE) on NiRuCl2 after structural relaxation.

abc: 4.3567 4.3567 3.0795
angles: 90.00 90.00 90.00
Fractional coordinates of all 4 atoms:
Ni: 0.0000 0.0000 0.0000
Ru: 0.5000 0.5000 0.0000
Cl: 0.0000 0.5000 0.5000
Cl: 0.5000 0.0000 0.5000

DOS at the Fermi energy (states/eV/cell): 5.606
Crystal system: tetragonal

---

x.
VASP calculation (PBE) on NiRuCl2 after structural relaxation.

abc: 4.4936 3.5922 4.7429
angles: 90.00 117.64 90.00
Fractional coordinates of all 4 atoms:
Ni: 0.0000 0.0000 0.0000
Ru: 0.5892 0.5000 0.7993
Cl: 0.1702 0.0000 0.6238
Cl: 0.4559 0.5000 0.2492

DOS at the Fermi energy (states/eV/cell): 4.404
Crystal system: monoclinic

---

Energies in eV/atom, measured from the most stable structure: w 0.422; x 0.000.

---

w.
VASP calculation (PBE) on NiRuCl2 after structural relaxation.

abc: 3.3814 3.5570 5.4974
angles: 90.00 91.95 90.00
Fractional coordinates of all 4 atoms:
Ni: 0.0000 0.0000 0.0000
Ru: 0.0000 0.0000 0.5000
Cl: 0.2429 0.5000 0.7518
Cl: 0.7571 0.5000 0.2482

DOS at the Fermi energy (states/eV/cell): 4.201
Crystal system: monoclinic

---

x.
VASP calculation (PBE) on NiRuCl2 after structural relaxation.

abc: 6.2245 6.2245 4.5254
angles: 99.26 99.26 28.87
Fractional coordinates of all 4 atoms:
Ni: 0.0000 0.0000 0.0000
Ru: 0.5000 0.5000 0.5000
Cl: 0.3607 0.3607 0.8053
Cl: 0.6393 0.6393 0.1947

DOS at the Fermi energy (states/eV/cell): 3.839
Crystal system: monoclinic

---

y.
VASP calculation (PBE) on NiRuCl2 after structural relaxation.

abc: 4.3453 4.3453 4.3453
angles: 60.00 60.00 60.00
Fractional coordinates of all 4 atoms:
Ni: 0.0000 0.0000 0.0000
Ru: 0.5000 0.5000 0.5000
Cl: 0.2500 0.2500 0.2500
Cl: 0.7500 0.7500 0.7500

DOS at the Fermi energy (states/eV/cell): 6.265
Crystal system: cubic

---

Energies in eV/atom, measured from the most stable structure: w 0.198; x 0.000; y 0.479.

---

w.
VASP calculation (PBE) on NiRuCl2 after structural relaxation.

abc: 4.9994 4.9994 4.9994
angles: 145.51 110.02 80.41
Fractional coordinates of all 4 atoms:
Ni: 0.0000 0.0000 0.0000
Ru: 0.5000 0.5000 0.0000
Cl: 0.2448 0.7448 0.5000
Cl: 0.7552 0.2552 0.5000

DOS at the Fermi energy (states/eV/cell): 5.123
Crystal system: orthorhombic

---

x.
VASP calculation (PBE) on NiRuCl2 after structural relaxation.

abc: 6.2202 6.2202 6.2202
angles: 127.81 127.81 76.93
Fractional coordinates of all 8 atoms:
Ni: 0.0000 0.0000 0.0000
Ni: 0.7500 0.2500 0.5000
Ru: 0.2500 0.7500 0.5000
Ru: 0.5000 0.5000 0.0000
Cl: 0.1067 0.6250 0.9817
Cl: 0.3750 0.3567 0.4817
Cl: 0.6433 0.1250 0.0183
Cl: 0.8750 0.8933 0.5183

DOS at the Fermi energy (states/eV/cell): 9.064
Crystal system: tetragonal

---

Energies in eV/atom, measured from the most stable structure: w 0.045; x 0.000.

---

w.
VASP calculation (PBE) on NiRuCl2 after structural relaxation.

abc: 4.8750 4.8750 3.1460
angles: 103.78 103.78 104.79
Fractional coordinates of all 4 atoms:
Ni: 0.0000 0.0000 0.0000
Ru: 0.5000 0.5000 0.0000
Cl: 0.0000 0.5000 0.0000
Cl: 0.5000 0.0000 0.0000

DOS at the Fermi energy (states/eV/cell): 4.383
Crystal system: monoclinic

---

x.
VASP calculation (PBE) on NiRuCl2 after structural relaxation.

abc: 6.3381 6.3381 6.3381
angles: 148.55 148.55 45.08
Fractional coordinates of all 4 atoms:
Ni: 0.0000 0.0000 0.0000
Ru: 0.2500 0.7500 0.5000
Cl: 0.5000 0.5000 0.0000
Cl: 0.7500 0.2500 0.5000

DOS at the Fermi energy (states/eV/cell): 5.653
Crystal system: tetragonal

---

Energies in eV/atom, measured from the most stable structure: w 0.000; x 0.090.